No. 1
Density functional theory data (PBE) for a relaxed Re3HgP crystal.

Structure (POSCAR):
```
Re3HgP
1.0
-1.1215 -2.4878 4.0883
4.7849 -0.5003 1.0081
-0.0941 4.2097 2.5359
Hg Re P
1 3 1
direct
0.0000 0.0000 0.0000
0.0000 0.0000 0.5000
0.0000 0.5000 0.0000
0.5000 0.0000 0.0000
0.5000 0.5000 0.5000
```

Calculated values
**ΔE_f**: 3.55 eV/atom
**Symmetry**: Pm-3m
**Excess energy over the best structure of this formula in the dataset**: 2548 meV/atom

---

No. 2
Density functional theory data (PBE) for a relaxed ReHgP2 crystal.

Structure (POSCAR):
```
ReHgP2
1.0
-0.6755 -0.4585 -2.7718
-0.8432 -1.9732 1.9353
-9.0149 5.1686 1.3421
Re Hg P
1 1 2
direct
0.5000 0.5000 0.2500
0.5000 0.5000 0.7500
0.0000 0.0000 0.0682
0.0000 0.0000 0.4318
```

Calculated values
**ΔE_f**: 0.35 eV/atom
**Symmetry**: Cmmm

---

No. 3
Density functional theory data (PBE) for a relaxed Re2HgP crystal.

Structure (POSCAR):
```
Re2HgP
1.0
-1.7627 0.4355 4.4737
-1.4267 4.5798 0.5482
-1.0078 -3.2038 -3.4686
Re P Hg
2 1 1
direct
0.0000 0.0000 0.0000
0.2500 0.7500 0.5000
0.7500 0.2500 0.5000
0.5000 0.5000 0.0000
```

Calculated values
**ΔE_f**: 0.94 eV/atom
**Symmetry**: I-4m2
**Excess energy over the best structure of this formula in the dataset**: 670 meV/atom

---

No. 4
Density functional theory data (PBE) for a relaxed Re2HgP crystal.

Structure (POSCAR):
```
Re2HgP
1.0
-3.0921 2.0263 -0.5911
-1.3055 -2.3649 -1.2779
-2.5934 -2.6293 4.5531
Re Hg P
2 1 1
direct
0.0000 0.1481 0.7021
0.0000 0.8519 0.2979
0.5000 0.5000 0.0000
0.5000 0.5000 0.5000
```

Calculated values
**ΔE_f**: 0.52 eV/atom
**Symmetry**: P2/m
**Excess energy over the best structure of this formula in the dataset**: 251 meV/atom

---

No. 5
Density functional theory data (PBE) for a relaxed ReHgP2 crystal.

Structure (POSCAR):
```
ReHgP2
1.0
3.9152 -0.0077 -0.0557
2.7572 2.7796 -0.0557
-2.1959 -0.9123 7.4795
Re P Hg
1 2 1
direct
0.7500 0.7500 0.7500
0.1038 0.1038 0.9099
0.3962 0.3962 0.5901
0.2500 0.2500 0.2500
```

Calculated values
**ΔE_f**: 0.10 eV/atom
**Symmetry**: C2/m

---

No. 6
Density functional theory data (PBE) for a relaxed ReHgP2 crystal.

Structure (POSCAR):
```
ReHgP2
1.0
4.6399 0.0083 0.0000
0.7829 4.5734 0.0000
-2.7114 -2.2909 2.9882
P Hg Re
2 1 1
direct
0.0000 0.0000 0.0000
0.5000 0.5000 0.0000
0.7500 0.2500 0.5000
0.2500 0.7500 0.5000
```

Calculated values
**ΔE_f**: 0.79 eV/atom
**Symmetry**: I4/mmm

---

No. 7
Density functional theory data (PBE) for a relaxed Re2HgP crystal.

Structure (POSCAR):
```
Re2HgP
1.0
-5.2066 -5.8247 -4.2637
-5.5515 -6.7784 -1.5645
-7.1766 -4.6079 -2.5453
Hg Re P
1 2 1
direct
0.5000 0.5000 0.5000
0.7358 0.7358 0.7358
0.2642 0.2642 0.2642
0.0000 0.0000 0.0000
```

Calculated values
**ΔE_f**: 0.37 eV/atom
**Symmetry**: R-3m
**Excess energy over the best structure of this formula in the dataset**: 101 meV/atom

---

No. 8
Density functional theory data (PBE) for a relaxed Re2HgP crystal.

Structure (POSCAR):
```
Re2HgP
1.0
-0.7249 -4.8936 -1.7059
4.9894 1.4572 0.6051
0.9800 -1.6879 2.2152
Re Hg P
2 1 1
direct
0.5000 0.0000 0.0000
0.0000 0.5000 0.0000
0.5000 0.5000 0.5000
0.0000 0.0000 0.5000
```

Calculated values
**ΔE_f**: 0.99 eV/atom
**Symmetry**: C2/m
**Excess energy over the best structure of this formula in the dataset**: 713 meV/atom

---

No. 9
Density functional theory data (PBE) for a relaxed Re2HgP crystal.

Structure (POSCAR):
```
Re2HgP
1.0
-6.8793 4.0069 4.8430
-8.4194 3.0594 2.5666
-7.8832 1.2790 4.8014
P Hg Re
1 1 2
direct
0.2652 0.2652 0.2652
0.4985 0.4985 0.4985
0.7398 0.7398 0.7398
0.9965 0.9965 0.9965
```

Calculated values
**ΔE_f**: 0.27 eV/atom
**Symmetry**: R3m
**Excess energy over the best structure of this formula in the dataset**: 0 meV/atom

---

No. 10
Density functional theory data (PBE) for a relaxed ReHgP2 crystal.

Structure (POSCAR):
```
ReHgP2
1.0
-0.4412 3.5152 3.8142
-4.2495 -0.2051 2.9998
3.6166 -3.3257 -1.7203
Re Hg P
1 1 2
direct
0.5000 0.5000 0.0000
0.7500 0.2500 0.5000
0.0000 0.0000 0.0000
0.2500 0.7500 0.5000
```

Calculated values
**ΔE_f**: 0.97 eV/atom
**Symmetry**: I-4m2

---

No. 11
Density functional theory data (PBE) for a relaxed ReHgP2 crystal.

Structure (POSCAR):
```
ReHgP2
1.0
3.1674 0.0000 0.0000
0.0000 4.4784 0.0000
0.0000 0.0000 4.4784
P Re Hg
2 1 1
direct
0.0000 0.0000 0.0000
0.0000 0.5000 0.5000
0.5000 0.5000 0.0000
0.5000 0.0000 0.5000
```

Calculated values
**ΔE_f**: 0.88 eV/atom
**Symmetry**: P4/mmm

---

No. 12
Density functional theory data (PBE) for a relaxed ReHgP2 crystal.

Structure (POSCAR):
```
ReHgP2
1.0
-0.8966 1.3734 2.3633
2.1956 -1.8342 0.2999
6.0055 6.9052 -1.7344
Re Hg P
1 1 2
direct
0.0000 0.0000 0.4537
0.5000 0.5000 0.7382
0.5000 0.5000 0.2644
0.0000 0.0000 0.0437
```

Calculated values
**ΔE_f**: 0.65 eV/atom
**Symmetry**: Cmm2

---

No. 13
Density functional theory data (PBE) for a relaxed Re2HgP crystal.

Structure (POSCAR):
```
Re2HgP
1.0
-2.6508 2.1797 -2.7830
1.9086 -2.0454 -3.4200
-2.1171 -2.3152 0.2032
Re P Hg
2 1 1
direct
0.5000 0.0000 0.0000
0.0000 0.5000 0.0000
0.0000 0.0000 0.5000
0.5000 0.5000 0.5000
```

Calculated values
**ΔE_f**: 0.88 eV/atom
**Symmetry**: P4/mmm
**Excess energy over the best structure of this formula in the dataset**: 607 meV/atom

---

No. 14
Density functional theory data (PBE) for a relaxed Re2HgP crystal.

Structure (POSCAR):
```
Re2HgP
1.0
0.0000 3.1921 3.1921
3.1921 0.0000 3.1921
3.1921 3.1921 0.0000
Re P Hg
2 1 1
direct
0.0000 0.0000 0.0000
0.2500 0.2500 0.2500
0.7500 0.7500 0.7500
0.5000 0.5000 0.5000
```

Calculated values
**ΔE_f**: 0.94 eV/atom
**Symmetry**: F-43m
**Excess energy over the best structure of this formula in the dataset**: 663 meV/atom

---

No. 15
Density functional theory data (PBE) for a relaxed ReHgP3 crystal.

Structure (POSCAR):
```
ReHgP3
1.0
4.6897 0.0000 0.0000
0.0000 4.6897 0.0000
0.0000 0.0000 4.6897
Hg Re P
1 1 3
direct
0.5000 0.5000 0.5000
0.0000 0.0000 0.0000
0.0000 0.5000 0.0000
0.5000 0.0000 0.0000
0.0000 0.0000 0.5000
```

Calculated values
**ΔE_f**: 0.56 eV/atom
**Symmetry**: Pm-3m
**Excess energy over the best structure of this formula in the dataset**: 0 meV/atom

---

No. 16
Density functional theory data (PBE) for a relaxed ReHgP2 crystal.

Structure (POSCAR):
```
ReHgP2
1.0
5.7864 0.0000 0.0000
0.0000 5.7864 0.0000
2.8932 2.8932 5.3956
P Hg Re
4 2 2
direct
0.5681 0.1250 0.2500
0.8750 0.8181 0.7500
0.1819 0.6250 0.2500
0.3750 0.4319 0.7500
0.7500 0.2500 0.5000
0.0000 0.0000 0.0000
0.5000 0.5000 0.0000
0.2500 0.7500 0.5000
```

Calculated values
**ΔE_f**: 0.25 eV/atom
**Symmetry**: I-42d

---

No. 17
Density functional theory data (PBE) for a relaxed ReHgP2 crystal.

Structure (POSCAR):
```
ReHgP2
1.0
7.0632 0.0068 0.0052
6.4473 2.8848 0.0052
0.8649 0.1851 3.8032
P Hg Re
2 1 1
direct
0.8532 0.8532 0.7129
0.9667 0.9667 0.0093
0.1856 0.1856 0.3126
0.4944 0.4944 0.4651
```

Calculated values
**ΔE_f**: 0.25 eV/atom
**Symmetry**: Cm

---

No. 18
Density functional theory data (PBE) for a relaxed Re2HgP crystal.

Structure (POSCAR):
```
Re2HgP
1.0
-3.8111 -0.2851 -2.2415
-3.1699 3.0315 0.6254
-0.9190 2.9347 -3.1895
P Hg Re
1 1 2
direct
0.0000 0.0000 0.0000
0.5000 0.5000 0.5000
0.2500 0.2500 0.2500
0.7500 0.7500 0.7500
```

Calculated values
**ΔE_f**: 0.88 eV/atom
**Symmetry**: Fm-3m
**Excess energy over the best structure of this formula in the dataset**: 603 meV/atom

---

No. 19
Density functional theory data (PBE) for a relaxed ReHgP crystal.

Structure (POSCAR):
```
ReHgP
1.0
2.3691 1.6436 3.0586
-0.8557 3.8364 1.4896
-1.5783 0.4481 3.8701
P Re Hg
1 1 1
direct
0.2500 0.2500 0.2500
0.0000 0.0000 0.0000
0.5000 0.5000 0.5000
```

Calculated values
**ΔE_f**: 0.86 eV/atom
**Symmetry**: F-43m
**Excess energy over the best structure of this formula in the dataset**: 666 meV/atom

---

No. 20
Density functional theory data (PBE) for a relaxed ReHgP crystal.

Structure (POSCAR):
```
ReHgP
1.0
2.0001 -3.4643 0.0000
2.0001 3.4643 0.0000
0.0000 0.0000 3.8301
Re P Hg
1 1 1
direct
0.3333 0.6667 0.5000
0.6667 0.3333 0.5000
0.0000 0.0000 0.0000
```

Calculated values
**ΔE_f**: 0.37 eV/atom
**Symmetry**: P-6m2
**Excess energy over the best structure of this formula in the dataset**: 174 meV/atom

---

No. 21
Density functional theory data (PBE) for a relaxed ReHgP2 crystal.

Structure (POSCAR):
```
ReHgP2
1.0
-2.1329 -1.3627 1.7972
2.2552 -1.3346 1.6644
0.1069 6.2231 4.8453
Re P Hg
1 2 1
direct
0.0000 0.0000 0.2970
0.5000 0.5000 0.4268
0.0000 0.0000 0.0154
0.5000 0.5000 0.7607
```

Calculated values
**ΔE_f**: 0.23 eV/atom
**Symmetry**: P4mm

---

No. 22
Density functional theory data (PBE) for a relaxed Re2HgP crystal.

Structure (POSCAR):
```
Re2HgP
1.0
4.6878 2.9448 -0.1298
-5.5057 -0.2107 -0.5547
-0.4610 0.9202 4.2265
P Re Hg
1 2 1
direct
0.2834 0.7166 0.5000
0.1969 0.8031 0.0000
0.6079 0.3921 0.5000
0.9385 0.0615 0.0000
```

Calculated values
**ΔE_f**: 0.43 eV/atom
**Symmetry**: Amm2
**Excess energy over the best structure of this formula in the dataset**: 159 meV/atom

---

No. 23
Density functional theory data (PBE) for a relaxed ReHgPRh2 crystal.

Structure (POSCAR):
```
ReHgPRh2
1.0
4.9653 0.0000 0.0000
0.0000 4.5321 0.0000
0.0000 0.0000 4.9653
Hg P Rh Re
1 1 2 1
direct
0.0000 0.0000 0.0000
0.0000 0.5000 0.0000
0.5000 0.0000 0.0000
0.0000 0.0000 0.5000
0.5000 0.5000 0.5000
```

Calculated values
**ΔE_f**: 2.28 eV/atom
**Symmetry**: P4/mmm

---

No. 24
Density functional theory data (PBE) for a relaxed ReHgPS2 crystal.

Structure (POSCAR):
```
ReHgPS2
1.0
4.6131 0.0000 0.0000
0.0000 4.6131 0.0000
0.0000 0.0000 4.8718
Re S Hg P
1 2 1 1
direct
0.0000 0.0000 0.0000
0.0000 0.5000 0.0000
0.5000 0.0000 0.0000
0.5000 0.5000 0.5000
0.0000 0.0000 0.5000
```

Calculated values
**ΔE_f (raw)**: 0.401 eV/atom
**Symmetry**: P4/mmm
**Excess energy over the best structure of this formula in the dataset**: 0 meV/atom

---

No. 25
Density functional theory data (PBE) for a relaxed ReHgPS2 crystal.

Structure (POSCAR):
```
ReHgPS2
1.0
-0.0110 -4.3472 -2.3113
3.3581 1.6836 -3.1826
3.6409 -1.6013 2.9945
Re P S Hg
1 1 2 1
direct
0.5000 0.5000 0.5000
0.0000 0.0000 0.5000
0.5000 0.0000 0.0000
0.0000 0.5000 0.0000
0.0000 0.0000 0.0000
```

Calculated values
**ΔE_f (raw)**: 1.932 eV/atom
**Symmetry**: P4/mmm
**Excess energy over the best structure of this formula in the dataset**: 1531 meV/atom

---

No. 26
Density functional theory data (PBE) for a relaxed TiReHg2P crystal.

Structure (POSCAR):
```
TiReHg2P
1.0
-3.6449 2.1014 -3.1974
-3.0069 -3.2269 1.3070
-1.6458 3.1255 3.9303
Hg Ti P Re
2 1 1 1
direct
0.0000 0.0000 0.5000
0.5000 0.0000 0.0000
0.0000 0.5000 0.0000
0.5000 0.5000 0.5000
0.0000 0.0000 0.0000
```

Calculated values
**ΔE_f**: 1.20 eV/atom
**Symmetry**: P4/mmm

---

No. 27
Density functional theory data (PBE) for a relaxed HgPRh3 crystal.

Structure (POSCAR):
```
HgPRh3
1.0
4.9227 0.0000 0.0000
0.0000 4.9227 0.0000
0.0000 0.0000 4.9227
Hg P Rh
1 1 3
direct
0.0000 0.0000 0.0000
0.5000 0.5000 0.5000
0.5000 0.0000 0.0000
0.0000 0.0000 0.5000
0.0000 0.5000 0.0000
```

Calculated values
**ΔE_f**: 1.95 eV/atom
**Symmetry**: Pm-3m
**Excess energy over the best structure of this formula in the dataset**: 2047 meV/atom

---

No. 28
Density functional theory data (PBE) for a relaxed HgPRh crystal.

Structure (POSCAR):
```
HgPRh
1.0
-1.4654 1.4654 6.2479
1.4654 -1.4654 6.2479
1.4654 1.4654 -6.2479
Hg P Rh
1 1 1
direct
0.0115 0.0115 0.0000
0.2942 0.2942 0.0000
0.6943 0.6943 0.0000
```

Calculated values
**ΔE_f**: -0.13 eV/atom
**Symmetry**: I4mm
**Excess energy over the best structure of this formula in the dataset**: 206 meV/atom

---

No. 29
Density functional theory data (PBE) for a relaxed Hg2PRh2 crystal.

Structure (POSCAR):
```
Hg2PRh2
1.0
6.1243 0.0000 0.0000
0.0000 6.1243 0.0000
0.0000 0.0000 4.7420
P Hg Rh
2 4 4
direct
0.0000 0.0000 0.0000
0.5000 0.5000 0.0000
0.1632 0.6632 0.5000
0.8368 0.3368 0.5000
0.6632 0.8368 0.5000
0.3368 0.1632 0.5000
0.1665 0.3335 0.0000
0.8335 0.6665 0.0000
0.3335 0.8335 0.0000
0.6665 0.1665 0.0000
```

Calculated values
**ΔE_f**: -0.10 eV/atom
**Symmetry**: P4/mbm

---

No. 30
Density functional theory data (PBE) for a relaxed HgPRh crystal.

Structure (POSCAR):
```
HgPRh
1.0
5.9624 0.0000 0.0077
0.0000 2.9880 0.0000
-4.1785 0.0000 6.7863
Rh P Hg
2 2 2
direct
0.3092 0.0000 0.3523
0.3092 0.5000 0.8523
0.3797 0.5000 0.1705
0.3797 0.0000 0.6705
0.8518 0.5000 0.2361
0.8518 0.0000 0.7361
```

Calculated values
**ΔE_f**: -0.15 eV/atom
**Symmetry**: Cm
**Excess energy over the best structure of this formula in the dataset**: 187 meV/atom

---

Number 1: total magnetization 0.881 μB per atom. Number 2: total magnetization 0.000 μB per atom. Number 3: total magnetization 0.000 μB per atom. Number 4: total magnetization 0.000 μB per atom. Number 5: total magnetization 0.000 μB per atom. Number 6: total magnetization 0.006 μB per atom. Number 7: total magnetization 0.093 μB per atom. Number 8: total magnetization 0.000 μB per atom. Number 9: total magnetization 0.000 μB per atom. Number 10: total magnetization 0.000 μB per atom. Number 11: total magnetization 0.000 μB per atom. Number 12: total magnetization 0.000 μB per atom. Number 13: total magnetization 0.000 μB per atom. Number 14: total magnetization 0.000 μB per atom. Number 15: total magnetization 0.000 μB per atom. Number 16: total magnetization 0.000 μB per atom. Number 17: total magnetization 0.000 μB per atom. Number 18: total magnetization 0.000 μB per atom. Number 19: total magnetization 0.000 μB per atom. Number 20: total magnetization 0.000 μB per atom. Number 21: total magnetization 0.000 μB per atom. Number 22: total magnetization 0.000 μB per atom. Number 23: total magnetization 0.780 μB per atom. Number 24: total magnetization 0.000 μB per atom. Number 25: total magnetization 0.644 μB per atom. Number 26: total magnetization 0.402 μB per atom. Number 27: total magnetization 0.544 μB per atom. Number 28: total magnetization 0.000 μB per atom. Number 29: total magnetization 0.000 μB per atom. Number 30: total magnetization 0.000 μB per atom.